# ThScTc2

An optimized crystal structure of ThScTc2 (PBE, Alexandria via LeMat-Bulk).

The structure belongs to space group P4/mmm (No. 123); the cell edges are 4.782, 4.782 and 3.424 Å and the angles 90.00°, 90.00° and 90.00°. The inequivalent atoms are Th at (0.000, 0.000, 0.000), Sc at (0.500, 0.500, 0.000) and Tc at (0.000, 0.500, 0.500).

For the formation energy, the calculation gives -0.08 eV/atom. For the distance to the lowest polymorph of the same formula, the calculation gives 107 meV per atom. The value obtained for the total magnetization is 0.000 μB/f.u.